Record 1
First-principles (GGA-PBE) data for a relaxed KTaNi2 crystal, as listed in Alexandria.

Structure (CIF):
```
data_KTaNi2
_chemical_formula_sum 'K4 Ta4 Ni8'
_cell_length_a 6.323
_cell_length_b 6.323
_cell_length_c 6.323
_cell_angle_alpha 90.00
_cell_angle_beta 90.00
_cell_angle_gamma 90.00
_space_group_name_H-M_alt 'F -4 3 m'
_space_group_IT_number 216
_space_group_name_Hall 'F -4 2 3'
loop_
_atom_site_label
_atom_site_type_symbol
_atom_site_fract_x
_atom_site_fract_y
_atom_site_fract_z
_atom_site_occupancy
K1 K 0.000 0.000 0.000 1
Ta1 Ta 0.250 0.250 0.750 1
Ni1 Ni 0.000 0.000 0.500 1
Ni2 Ni 0.250 0.250 0.250 1
```

Output
Total magnetic moment, μB per formula unit: 0.00
E_form, eV per formula unit: 4.87
VASP energy, eV/atom: -4.9109
Calculated density, kg/m3: 8864

Record 2
First-principles (GGA-PBE) data for a relaxed RbYAgO3 crystal, as listed in Alexandria.

Structure (CIF):
```
data_RbYAgO3
_chemical_formula_sum 'Rb2 Y2 Ag2 O6'
_cell_length_a 7.097
_cell_length_b 3.574
_cell_length_c 9.993
_cell_angle_alpha 90.00
_cell_angle_beta 110.54
_cell_angle_gamma 90.00
_space_group_name_H-M_alt 'P 1 21/m 1'
_space_group_IT_number 11
loop_
_space_group_symop_operation_xyz
'x,y,z'
'-x,-y,-z'
'-x,y+1/2,-z'
'x,-y+1/2,z'
loop_
_atom_site_label
_atom_site_type_symbol
_atom_site_fract_x
_atom_site_fract_y
_atom_site_fract_z
_atom_site_occupancy
Rb1 Rb 0.248 0.250 0.251 1
Y1 Y 0.331 0.750 0.865 1
Ag1 Ag 0.141 0.250 0.576 1
O1 O 0.106 0.250 0.799 1
O2 O 0.302 0.750 0.614 1
O3 O 0.445 0.750 0.101 1
```

Output
Total magnetic moment, μB per formula unit: 0.62
Raw formation energy, eV per formula unit: -10.030
VASP energy, eV/atom: -5.8646
Calculated density, kg/m3: 4621

Record 3
First-principles (GGA-PBE) data for a relaxed Cs2ZnMoBr6 crystal, as listed in Alexandria.

Structure (CIF):
```
data_Cs2ZnMoBr6
_chemical_formula_sum 'Cs4 Zn2 Mo2 Br12'
_cell_length_a 7.733
_cell_length_b 7.733
_cell_length_c 11.025
_cell_angle_alpha 90.00
_cell_angle_beta 90.00
_cell_angle_gamma 90.00
_space_group_name_H-M_alt 'I 4/m m m'
_space_group_IT_number 139
_space_group_name_Hall '-I 4 2'
loop_
_atom_site_label
_atom_site_type_symbol
_atom_site_fract_x
_atom_site_fract_y
_atom_site_fract_z
_atom_site_occupancy
Cs1 Cs 0.000 0.500 0.250 1
Zn1 Zn 0.000 0.000 0.000 1
Mo1 Mo 0.000 0.000 0.500 1
Br1 Br 0.000 0.000 0.259 1
Br2 Br 0.244 0.244 0.500 1
```

Output
Total magnetic moment, μB per formula unit: 3.85
Raw formation energy, eV per formula unit: -9.778
VASP energy, eV/atom: -3.3628
Calculated density, kg/m3: 4567

Record 4
First-principles (GGA-PBE) data for a relaxed CrReNi2 crystal, as listed in Alexandria.

Structure (CIF):
```
data_CrReNi2
_chemical_formula_sum 'Cr1 Re1 Ni2'
_cell_length_a 2.575
_cell_length_b 2.575
_cell_length_c 7.362
_cell_angle_alpha 90.00
_cell_angle_beta 90.00
_cell_angle_gamma 90.00
_space_group_name_H-M_alt 'P 4 m m'
_space_group_IT_number 99
loop_
_space_group_symop_operation_xyz
'x,y,z'
'-y,x,z'
'-x,-y,z'
'y,-x,z'
'-x,y,z'
'y,x,z'
'x,-y,z'
'-y,-x,z'
loop_
_atom_site_label
_atom_site_type_symbol
_atom_site_fract_x
_atom_site_fract_y
_atom_site_fract_z
_atom_site_occupancy
Cr1 Cr 0.000 0.000 0.000 1
Re1 Re 0.500 0.500 0.715 1
Ni1 Ni 0.000 0.000 0.467 1
Ni2 Ni 0.500 0.500 0.221 1
```

Output
Total magnetic moment, μB per formula unit: 0.00
E_form, eV per formula unit: 0.23
VASP energy, eV/atom: -8.3502
Calculated density, kg/m3: 12092

Record 5
First-principles (GGA-PBE) data for a relaxed BiPt crystal, as listed in Alexandria.

Structure (CIF):
```
data_BiPt
_chemical_formula_sum 'Bi6 Pt6'
_cell_length_a 4.099
_cell_length_b 17.347
_cell_length_c 3.933
_cell_angle_alpha 90.00
_cell_angle_beta 90.00
_cell_angle_gamma 90.00
_space_group_name_H-M_alt 'P m m n'
_space_group_IT_number 59
loop_
_space_group_symop_operation_xyz
'x,y,z'
'-x,-y,-z'
'-x+1/2,-y+1/2,z'
'x+1/2,y+1/2,-z'
'x+1/2,-y,-z'
'-x+1/2,y,z'
'-x,y+1/2,-z'
'x,-y+1/2,z'
loop_
_atom_site_label
_atom_site_type_symbol
_atom_site_fract_x
_atom_site_fract_y
_atom_site_fract_z
_atom_site_occupancy
Bi1 Bi 0.250 0.092 0.051 1
Bi2 Bi 0.250 0.750 0.417 1
Pt1 Pt 0.250 0.250 0.091 1
Pt2 Pt 0.250 0.555 0.417 1
```

Output
Total magnetic moment, μB per formula unit: 0.00
E_form, eV per formula unit: -0.30
VASP energy, eV/atom: -5.1096
Calculated density, kg/m3: 14397

Record 6
First-principles (GGA-PBE) data for a relaxed LiAs2Cl crystal, as listed in Alexandria.

Structure (CIF):
```
data_LiAs2Cl
_chemical_formula_sum 'Li1 As2 Cl1'
_cell_length_a 3.100
_cell_length_b 3.100
_cell_length_c 8.086
_cell_angle_alpha 90.00
_cell_angle_beta 90.00
_cell_angle_gamma 90.00
_space_group_name_H-M_alt 'P 4/m m m'
_space_group_IT_number 123
_space_group_name_Hall '-P 4 2'
loop_
_atom_site_label
_atom_site_type_symbol
_atom_site_fract_x
_atom_site_fract_y
_atom_site_fract_z
_atom_site_occupancy
Li1 Li 0.000 0.000 0.000 1
As1 As 0.500 0.500 0.169 1
Cl1 Cl 0.000 0.000 0.500 1
```

Output
Total magnetic moment, μB per formula unit: 0.27
Raw formation energy, eV per formula unit: 0.024
VASP energy, eV/atom: -3.2588
Calculated density, kg/m3: 4109

Record 7
First-principles (GGA-PBE) data for a relaxed TiCoAg2 crystal, as listed in Alexandria.

Structure (CIF):
```
data_TiCoAg2
_chemical_formula_sum 'Ti4 Co4 Ag8'
_cell_length_a 7.307
_cell_length_b 7.307
_cell_length_c 5.097
_cell_angle_alpha 90.00
_cell_angle_beta 90.00
_cell_angle_gamma 90.00
_space_group_name_H-M_alt 'I -4 2 d'
_space_group_IT_number 122
_space_group_name_Hall 'I -4 2bw'
loop_
_atom_site_label
_atom_site_type_symbol
_atom_site_fract_x
_atom_site_fract_y
_atom_site_fract_z
_atom_site_occupancy
Ti1 Ti 0.000 0.000 0.000 1
Co1 Co 0.000 0.000 0.500 1
Ag1 Ag 0.219 0.250 0.625 1
```

Output
Total magnetic moment, μB per formula unit: 0.00
E_form, eV per formula unit: 2.45
VASP energy, eV/atom: -4.5622
Calculated density, kg/m3: 7871

Record 8
First-principles (GGA-PBE) data for a relaxed PrTm4Cd5 crystal, as listed in Alexandria.

Structure (CIF):
```
data_PrTm4Cd5
_chemical_formula_sum 'Pr1 Tm4 Cd5'
_cell_length_a 3.717
_cell_length_b 3.717
_cell_length_c 18.847
_cell_angle_alpha 90.00
_cell_angle_beta 90.00
_cell_angle_gamma 90.00
_space_group_name_H-M_alt 'P 4/m m m'
_space_group_IT_number 123
_space_group_name_Hall '-P 4 2'
loop_
_atom_site_label
_atom_site_type_symbol
_atom_site_fract_x
_atom_site_fract_y
_atom_site_fract_z
_atom_site_occupancy
Pr1 Pr 0.000 0.000 0.000 1
Tm1 Tm 0.000 0.000 0.208 1
Tm2 Tm 0.000 0.000 0.403 1
Cd1 Cd 0.500 0.500 0.113 1
Cd2 Cd 0.500 0.500 0.305 1
Cd3 Cd 0.500 0.500 0.500 1
```

Output
Total magnetic moment, μB per formula unit: 0.49
E_form, eV per formula unit: -3.10
VASP energy, eV/atom: -3.0341
Calculated density, kg/m3: 8792

Record 9
First-principles (GGA-PBE) data for a relaxed AlMoPd2 crystal, as listed in Alexandria.

Structure (CIF):
```
data_AlMoPd2
_chemical_formula_sum 'Al4 Mo4 Pd8'
_cell_length_a 3.827
_cell_length_b 3.827
_cell_length_c 17.958
_cell_angle_alpha 90.00
_cell_angle_beta 90.00
_cell_angle_gamma 90.00
_space_group_name_H-M_alt 'I -4 2 d'
_space_group_IT_number 122
_space_group_name_Hall 'I -4 2bw'
loop_
_atom_site_label
_atom_site_type_symbol
_atom_site_fract_x
_atom_site_fract_y
_atom_site_fract_z
_atom_site_occupancy
Al1 Al 0.000 0.000 0.000 1
Mo1 Mo 0.000 0.000 0.500 1
Pd1 Pd 0.245 0.250 0.125 1
```

Output
Total magnetic moment, μB per formula unit: 0.00
E_form, eV per formula unit: 0.41
VASP energy, eV/atom: -6.1382
Calculated density, kg/m3: 8479

Record 10
First-principles (GGA-PBE) data for a relaxed Cd3PbF crystal, as listed in Alexandria.

Structure (CIF):
```
data_Cd3PbF
_chemical_formula_sum 'Cd3 Pb1 F1'
_cell_length_a 4.955
_cell_length_b 4.955
_cell_length_c 4.955
_cell_angle_alpha 90.00
_cell_angle_beta 90.00
_cell_angle_gamma 90.00
_space_group_name_H-M_alt 'P m -3 m'
_space_group_IT_number 221
_space_group_name_Hall '-P 4 2 3'
loop_
_atom_site_label
_atom_site_type_symbol
_atom_site_fract_x
_atom_site_fract_y
_atom_site_fract_z
_atom_site_occupancy
Cd1 Cd 0.000 0.000 0.500 1
Pb1 Pb 0.500 0.500 0.500 1
F1 F 0.000 0.000 0.000 1
```

Output
Total magnetic moment, μB per formula unit: 0.00
Raw formation energy, eV per formula unit: -1.810
VASP energy, eV/atom: -2.0271
Calculated density, kg/m3: 7693